## AlRe5 (PBE)

Data for an optimized crystal structure of AlRe5.

Geometry as POSCAR:
```
AlRe5
1.0
2.832 0.000 0.000
0.000 2.832 0.000
0.000 0.000 11.061
Al Re
1 5
direct
0.000 0.000 0.000 Al
0.000 0.000 0.323 Re
0.000 0.000 0.677 Re
0.500 0.500 0.161 Re
0.500 0.500 0.500 Re
0.500 0.500 0.839 Re
```

The value obtained for the formation energy is -21 kJ/mol of formula units. The magnetic moment is 0.0 μB/cell. As for the symmetry: P4/mmm, No. 123. The calculation puts the polymorph energy (0 for the lowest one) at 0 meV per atom.